Dy7HoTl4: optimized geometry, PBE.

Computed properties:
DFT formation energy: -14 kJ/mol of formula units
total energy: -3.867 eV per atom
volume: 359.4 Å³/cell

a b c (Å): 8.004 8.004 9.781
angles (deg): 119.25 119.25 42.32
Atoms (fractional coordinates):
Dy (0.000, 0.000, 0.000)
Dy (0.242, 0.242, 0.695)
Dy (0.296, 0.296, 0.120)
Dy (0.432, 0.432, 0.594)
Dy (0.568, 0.568, 0.406)
Dy (0.704, 0.704, 0.880)
Dy (0.758, 0.758, 0.305)
Ho (0.500, 0.500, 0.000)
Tl (0.048, 0.048, 0.712)
Tl (0.185, 0.185, 0.337)
Tl (0.815, 0.815, 0.663)
Tl (0.952, 0.952, 0.288)